1.
Density functional theory data (PBE) for an optimized crystal structure of Ca2ZnB2Pt5.

## Properties
E_form: -58.9 kJ/mol of atoms
N(E_F): 3.9 states/eV/f.u.
electronic total energy: -109.9 eV per cell
crystal system: tetragonal

Lattice parameters (Å, degrees): 3.138 9.846 9.846 90.00 90.00 90.00
Fractional positions:
Pt1 0.500 0.567 0.721
Pt2 0.500 0.500 0.000
Pt3 0.500 0.000 0.500
Pt4 0.500 0.933 0.221
Pt5 0.500 0.221 0.067
Pt6 0.500 0.779 0.933
Pt7 0.500 0.433 0.279
Pt8 0.500 0.279 0.567
Pt9 0.500 0.721 0.433
Pt10 0.500 0.067 0.779
B1 0.000 0.623 0.877
B2 0.000 0.123 0.623
B3 0.000 0.877 0.377
B4 0.000 0.377 0.123
Ca1 0.000 0.322 0.822
Ca2 0.000 0.678 0.178
Ca3 0.000 0.822 0.678
Ca4 0.000 0.178 0.322
Zn1 0.000 0.000 0.000
Zn2 0.000 0.500 0.500

2.
Density functional theory data (PBE) for an optimized crystal structure of Ca2ZnB3Pt12.

## Properties
E_form: -31.2 kJ/mol of atoms
N(E_F): 6.4 states/eV/f.u.
electronic total energy: -103.6 eV per cell
crystal system: trigonal

Lattice parameters (Å, degrees): 7.291 7.291 7.291 66.56 66.56 66.56
Fractional positions:
Pt1 0.874 0.382 0.874
Pt2 0.678 0.678 0.088
Pt3 0.382 0.874 0.874
Pt4 0.126 0.618 0.126
Pt5 0.618 0.126 0.126
Pt6 0.322 0.322 0.912
Pt7 0.322 0.912 0.322
Pt8 0.126 0.126 0.618
Pt9 0.912 0.322 0.322
Pt10 0.678 0.088 0.678
Pt11 0.874 0.874 0.382
Pt12 0.088 0.678 0.678
B1 0.000 0.000 0.500
B2 0.500 0.000 0.000
B3 0.000 0.500 0.000
Ca1 0.601 0.601 0.601
Ca2 0.399 0.399 0.399
Zn1 0.000 0.000 0.000

3.
Density functional theory data (PBE) for an optimized crystal structure of Ca2ZnBPt6.

## Properties
E_form: -66.4 kJ/mol of atoms
N(E_F): 5.3 states/eV/f.u.
electronic total energy: -55.1 eV per cell
crystal system: trigonal

Lattice parameters (Å, degrees): 5.621 7.404 7.404 44.62 67.69 90.00
Fractional positions:
Zn1 0.000 0.000 0.000
Ca1 0.291 0.709 0.419
Ca2 0.709 0.291 0.581
Pt1 0.736 0.780 0.528
Pt2 0.736 0.264 0.044
Pt3 0.264 0.220 0.472
Pt4 0.264 0.736 0.956
Pt5 0.220 0.264 0.044
Pt6 0.780 0.736 0.956
B1 0.500 0.500 0.000

4.
Density functional theory data (PBE) for an optimized crystal structure of CaZrB2Pt.

## Properties
E_form: 81.1 kJ/mol of atoms
N(E_F): 3.8 states/eV/f.u.
electronic total energy: -25.7 eV per cell
crystal system: tetragonal

Lattice parameters (Å, degrees): 4.215 5.159 4.215 90.00 90.00 90.00
Site moments in Bohr magnetons follow the coordinates.
Fractional positions:
B1 0.000 0.000 0.500  0.00
B2 0.500 0.000 0.000  0.01
Pt1 0.000 0.000 0.000  0.08
Zr1 0.500 0.500 0.500  0.77
Ca1 0.000 0.500 0.000  0.12

5.
Density functional theory data (PBE) for an optimized crystal structure of CaPuB12.

## Properties
E_form: -37.4 kJ/mol of atoms
N(E_F): 9.2 states/eV/f.u.
electronic total energy: -101.9 eV per cell
crystal system: cubic

Lattice parameters (Å, degrees): 5.838 5.838 5.838 60.00 60.00 60.00
Site moments in Bohr magnetons follow the coordinates.
Fractional positions:
B1 0.100 0.400 0.100  0.00
B2 0.600 0.900 0.600  0.00
B3 0.400 0.100 0.100  0.00
B4 0.900 0.600 0.600  0.00
B5 0.600 0.900 0.900  0.00
B6 0.400 0.100 0.400  0.00
B7 0.900 0.600 0.900  0.00
B8 0.100 0.400 0.400  0.00
B9 0.900 0.900 0.600  0.00
B10 0.100 0.100 0.400  0.00
B11 0.400 0.400 0.100  0.00
B12 0.600 0.600 0.900  0.00
Ca1 0.000 0.000 0.000  0.01
Pu1 0.500 0.500 0.500  5.29

6.
Density functional theory data (PBE) for an optimized crystal structure of RbCaB3.

## Properties
polymorph energy (0 for the lowest one): 0.496 eV per atom
E_form: 262.5 kJ/mol of atoms
N(E_F): 4.9 states/eV/f.u.
electronic total energy: -9.4 eV per cell
crystal system: cubic

Lattice parameters (Å, degrees): 4.883 4.883 4.883 90.00 90.00 90.00
Site moments in Bohr magnetons follow the coordinates.
Fractional positions:
B1 0.500 0.000 0.000  0.17
B2 0.000 0.000 0.500  0.01
B3 0.000 0.500 0.000  0.04
Rb1 0.000 0.000 0.000  0.06
Ca1 0.500 0.500 0.500  0.00

7.
Density functional theory data (PBE) for an optimized crystal structure of RbCa3B.

## Properties
polymorph energy (0 for the lowest one): 0.000 eV per atom
E_form: 33.5 kJ/mol of atoms
N(E_F): 1.4 states/eV/f.u.
electronic total energy: -11.9 eV per cell
crystal system: cubic

Lattice parameters (Å, degrees): 5.644 5.644 5.644 90.00 90.00 90.00
Fractional positions:
Ca1 0.000 0.000 0.500
Ca2 0.500 0.000 0.000
Ca3 0.000 0.500 0.000
B1 0.000 0.000 0.000
Rb1 0.500 0.500 0.500

8.
Density functional theory data (PBE) for an optimized crystal structure of RbCaB12.

## Properties
E_form: -17.9 kJ/mol of atoms
N(E_F): 3.6 states/eV/f.u.
electronic total energy: -85.7 eV per cell
crystal system: cubic

Lattice parameters (Å, degrees): 5.954 5.954 5.954 60.00 60.00 60.00
Fractional positions:
B1 0.600 0.900 0.600
B2 0.600 0.600 0.900
B3 0.100 0.400 0.400
B4 0.400 0.100 0.100
B5 0.400 0.100 0.400
B6 0.100 0.100 0.400
B7 0.400 0.400 0.100
B8 0.900 0.600 0.900
B9 0.100 0.400 0.100
B10 0.900 0.900 0.600
B11 0.900 0.600 0.600
B12 0.600 0.900 0.900
Rb1 0.000 0.000 0.000
Ca1 0.500 0.500 0.500